Record 1
K2PrF6 | PBE | relaxed

Computed properties:
- space group = No. 186
- VASP energy (eV/atom) = -4.839

Structure (CIF):
```
data_K2PrF6
_cell_length_a 6.020
_cell_length_b 6.020
_cell_length_c 8.189
_cell_angle_alpha 90.00
_cell_angle_beta 90.00
_cell_angle_gamma 120.00
_symmetry_space_group_name_H-M 'P 1'
_symmetry_Int_Tables_number 1
_symmetry_space_group_name_Hall 'P 1'
loop_
_atom_site_label
_atom_site_type_symbol
_atom_site_fract_x
_atom_site_fract_y
_atom_site_fract_z
_atom_site_occupancy
K1 K 0.000 0.000 0.137 1
K2 K 0.000 0.000 0.637 1
K3 K 0.667 0.333 0.401 1
K4 K 0.333 0.667 0.901 1
F1 F 0.505 0.009 0.145 1
F2 F 0.991 0.495 0.145 1
F3 F 0.870 0.130 0.884 1
F4 F 0.870 0.739 0.884 1
F5 F 0.505 0.495 0.145 1
F6 F 0.495 0.991 0.645 1
F7 F 0.009 0.505 0.645 1
F8 F 0.130 0.870 0.384 1
F9 F 0.130 0.261 0.384 1
F10 F 0.739 0.870 0.384 1
F11 F 0.261 0.130 0.884 1
F12 F 0.495 0.505 0.645 1
Pr1 Pr 0.667 0.333 0.936 1
Pr2 Pr 0.333 0.667 0.436 1
```

---

Record 2
DyCo3 | PBE | relaxed

Computed properties:
- space group = No. 166
- ΔH_f (0 K) (meV/atom) = -175
- VASP energy (eV/atom) = -6.656
- energy relative to the lowest polymorph listed for this composition (kcal/mol of atoms) = 0.00

Structure (CIF):
```
data_DyCo3
_cell_length_a 4.954
_cell_length_b 4.954
_cell_length_c 8.581
_cell_angle_alpha 73.22
_cell_angle_beta 106.78
_cell_angle_gamma 120.00
_symmetry_space_group_name_H-M 'P 1'
_symmetry_Int_Tables_number 1
_symmetry_space_group_name_Hall 'P 1'
loop_
_atom_site_label
_atom_site_type_symbol
_atom_site_fract_x
_atom_site_fract_y
_atom_site_fract_z
_atom_site_occupancy
Co1 Co 0.583 0.921 0.244 1
Co2 Co 0.417 0.079 0.756 1
Co3 Co 0.665 0.335 0.996 1
Co4 Co 0.417 0.583 0.756 1
Co5 Co 0.079 0.417 0.244 1
Co6 Co 0.335 0.665 0.004 1
Co7 Co 0.583 0.417 0.244 1
Co8 Co 0.500 0.500 0.500 1
Co9 Co 0.921 0.583 0.756 1
Dy1 Dy 0.000 0.000 0.000 1
Dy2 Dy 0.140 0.860 0.419 1
Dy3 Dy 0.860 0.140 0.581 1
```

---

Record 3
ErHgOs | PBE | relaxed

Computed properties:
- space group = No. 216
- ΔH_f (0 K) (meV/atom) = 366
- VASP energy (eV/atom) = -4.996
- energy relative to the lowest polymorph listed for this composition (kcal/mol of atoms) = 0.00

Structure (CIF):
```
data_ErHgOs
_cell_length_a 4.642
_cell_length_b 4.642
_cell_length_c 4.642
_cell_angle_alpha 60.00
_cell_angle_beta 60.00
_cell_angle_gamma 60.00
_symmetry_space_group_name_H-M 'P 1'
_symmetry_Int_Tables_number 1
_symmetry_space_group_name_Hall 'P 1'
loop_
_atom_site_label
_atom_site_type_symbol
_atom_site_fract_x
_atom_site_fract_y
_atom_site_fract_z
_atom_site_occupancy
Hg1 Hg 0.750 0.750 0.750 1
Er1 Er 0.250 0.250 0.250 1
Os1 Os 0.000 0.000 0.000 1
```

---

Record 4
CoW2N | PBE | relaxed

Computed properties:
- space group = No. 194
- VASP energy (eV/atom) = -10.171

Structure (CIF):
```
data_CoW2N
_cell_length_a 2.797
_cell_length_b 2.797
_cell_length_c 14.307
_cell_angle_alpha 90.00
_cell_angle_beta 90.00
_cell_angle_gamma 120.00
_symmetry_space_group_name_H-M 'P 1'
_symmetry_Int_Tables_number 1
_symmetry_space_group_name_Hall 'P 1'
loop_
_atom_site_label
_atom_site_type_symbol
_atom_site_fract_x
_atom_site_fract_y
_atom_site_fract_z
_atom_site_occupancy
Co1 Co 0.667 0.333 0.250 1
Co2 Co 0.333 0.667 0.750 1
W1 W 0.333 0.667 0.398 1
W2 W 0.667 0.333 0.602 1
W3 W 0.667 0.333 0.898 1
W4 W 0.333 0.667 0.102 1
N1 N 0.000 0.000 0.500 1
N2 N 0.000 0.000 0.000 1
```

---

Record 5
LiTaSeO | PBE | relaxed

Computed properties:
- space group = No. 186
- VASP energy (eV/atom) = -6.987
- energy relative to the lowest polymorph listed for this composition (kcal/mol of atoms) = 0.00

Structure (CIF):
```
data_LiTaSeO
_cell_length_a 3.155
_cell_length_b 3.155
_cell_length_c 12.742
_cell_angle_alpha 90.00
_cell_angle_beta 90.00
_cell_angle_gamma 120.00
_symmetry_space_group_name_H-M 'P 1'
_symmetry_Int_Tables_number 1
_symmetry_space_group_name_Hall 'P 1'
loop_
_atom_site_label
_atom_site_type_symbol
_atom_site_fract_x
_atom_site_fract_y
_atom_site_fract_z
_atom_site_occupancy
Ta1 Ta 0.000 0.000 0.231 1
Ta2 Ta 0.000 0.000 0.731 1
O1 O 0.667 0.333 0.627 1
O2 O 0.333 0.667 0.127 1
Li1 Li 0.000 0.000 0.022 1
Li2 Li 0.000 0.000 0.522 1
Se1 Se 0.667 0.333 0.870 1
Se2 Se 0.333 0.667 0.370 1
```

---

Record 6
NiHgGeAu | PBE | relaxed

Computed properties:
- space group = No. 216
- VASP energy (eV/atom) = -3.175

Structure (CIF):
```
data_NiHgGeAu
_cell_length_a 4.616
_cell_length_b 4.616
_cell_length_c 4.616
_cell_angle_alpha 60.00
_cell_angle_beta 60.00
_cell_angle_gamma 60.00
_symmetry_space_group_name_H-M 'P 1'
_symmetry_Int_Tables_number 1
_symmetry_space_group_name_Hall 'P 1'
loop_
_atom_site_label
_atom_site_type_symbol
_atom_site_fract_x
_atom_site_fract_y
_atom_site_fract_z
_atom_site_occupancy
Hg1 Hg 0.250 0.250 0.250 1
Ge1 Ge 0.000 0.000 0.000 1
Ni1 Ni 0.750 0.750 0.750 1
Au1 Au 0.500 0.500 0.500 1
```

---

Which formula does entry 1 have?
K2PrF6

---

The highest VASP energy belongs to which entry?
NiHgGeAu

---

Which of these has the highest VASP energy?
NiHgGeAu